[1]
An optimized crystal structure of TiIBr2. Source: Alexandria via LeMat-Bulk, functional PBE.

symmetry = C2/m (12)
electronic total energy = -4.16 eV/atom
uncorrected formation energy = -0.959 eV per atom
calculated volume = 136.5 Å³ per cell
E above lowest polymorph = 1.1 kJ per mole of atoms
ρ = 4.07 Mg/m³
total moment = 1.0 μB per formula unit

Lattice parameters (Å, degrees): 3.717 5.594 7.332 112.42 103.29 90.00
Site moments in Bohr magnetons follow the coordinates.
Element x y z (fractional)
I (0.500, 0.000, 0.000)  -0.06
Br (0.874, 0.362, 0.723)  -0.01
Br (0.126, 0.638, 0.277)  -0.01
Ti (0.500, 0.500, 0.000)  0.94



[2]
An optimized crystal structure of Zr2TlTcC. Source: Alexandria via LeMat-Bulk, functional PBE.

symmetry = P4/mmm (123)
electronic total energy = -8.05 eV/atom
formation energy = -0.24 eV/atom
calculated volume = 88.2 Å³ per cell
ρ = 9.35 Mg/m³
total moment = 0.0 μB per formula unit

Lattice parameters (Å, degrees): 4.665 4.665 4.052 90.00 90.00 90.00
Element x y z (fractional)
Zr (0.500, 0.000, 0.000)
Zr (0.000, 0.500, 0.000)
C (0.000, 0.000, 0.000)
Tc (0.000, 0.000, 0.500)
Tl (0.500, 0.500, 0.500)



[3]
An optimized crystal structure of CdBi5Pb8. Source: Alexandria via LeMat-Bulk, functional PBE.

symmetry = I-4 (82)
electronic total energy = -3.53 eV/atom
formation energy = 0.04 eV/atom
calculated volume = 463.0 Å³ per cell
ρ = 10.10 Mg/m³
total moment = 0.0 μB per formula unit

Lattice parameters (Å, degrees): 8.441 8.441 8.441 109.42 109.57 109.42
Element x y z (fractional)
Bi (0.356, 0.120, 0.000)
Bi (0.500, 0.000, 0.500)
Bi (0.000, 0.357, 0.120)
Bi (0.880, 0.880, 0.237)
Bi (0.763, 0.643, 0.644)
Pb (0.131, 0.735, 0.044)
Pb (0.956, 0.087, 0.691)
Pb (0.604, 0.913, 0.869)
Pb (0.772, 0.258, 0.370)
Pb (0.309, 0.265, 0.396)
Pb (0.487, 0.598, 0.228)
Pb (0.112, 0.742, 0.513)
Pb (0.630, 0.402, 0.888)
Cd (0.250, 0.500, 0.750)



[4]
An optimized crystal structure of Rb2ErGe2O6. Source: Alexandria via LeMat-Bulk, functional PBE.

symmetry = C2/m (12)
electronic total energy = -6.17 eV/atom
uncorrected formation energy = -2.033 eV per atom
calculated volume = 193.6 Å³ per cell
ρ = 4.97 Mg/m³
total moment = 0.9 μB per formula unit

Lattice parameters (Å, degrees): 6.080 6.081 6.993 115.77 90.00 120.00
Site moments in Bohr magnetons follow the coordinates.
Element x y z (fractional)
Rb (0.283, 0.567, 0.848)  0.00
Rb (0.717, 0.433, 0.152)  0.00
O (0.235, 0.982, 0.723)  0.08
O (0.745, 0.490, 0.717)  0.08
O (0.765, 0.018, 0.277)  0.08
O (0.253, 0.018, 0.277)  0.08
O (0.747, 0.982, 0.723)  0.08
O (0.255, 0.510, 0.283)  0.08
Ge (0.072, 0.144, 0.220)  0.10
Ge (0.928, 0.856, 0.780)  0.10
Er (0.500, 0.000, 0.500)  0.09